First-principles (PBE) data for crystalline LaFeS2 at its relaxed geometry, as listed in Alexandria.

Energy relative to the elements, uncorrected: -3.9 eV per formula unit
Energy relative to the lowest polymorph listed for this composition: 40 meV per atom

Cell and atoms, written as CIF:
```
data_LaFeS2
_cell_length_a 4.4031
_cell_length_b 4.4031
_cell_length_c 21.1704
_cell_angle_alpha 90.00
_cell_angle_beta 90.00
_cell_angle_gamma 120.00
_symmetry_space_group_name_H-M 'R -3 m'
_symmetry_Int_Tables_number 166
_symmetry_space_group_name_Hall '-R 3 2"'
loop_
_atom_site_label
_atom_site_type_symbol
_atom_site_fract_x
_atom_site_fract_y
_atom_site_fract_z
La1 La 0.0000 0.0000 0.0000
Fe1 Fe 0.0000 0.0000 0.5000
S1 S 0.0000 0.0000 0.3972
```